## AlCd2Cu (GGA-PBE)

Data for an optimized crystal structure of AlCd2Cu.

Lattice parameters (Å, degrees): 9.604 9.604 9.604 17.96 17.96 17.96
Atoms (fractional coordinates):
Al 0.750 0.750 0.750
Cd 0.505 0.505 0.505
Cd 0.995 0.995 0.995
Cu 0.250 0.250 0.250

## Properties
raw total energy: -2.312 eV/atom
magnetic moment: 0.00 μB/f.u.
space-group type: R-3m, No. 166
density of states at the Fermi level: 0.4 states/eV/cell